Record 1
## Ac2NdPt (GGA-PBE)

Data for a relaxed structure of Ac2NdPt.

Cell lengths 4.069, 6.821, 10.578 Å; angles 90.00, 90.00, 107.36 degrees
Fractional positions:
Ac 0.637 0.275 0.067
Ac 0.363 0.725 0.567
Ac 0.363 0.725 0.933
Ac 0.637 0.275 0.433
Nd 0.093 0.186 0.750
Nd 0.907 0.814 0.250
Pt 0.238 0.476 0.250
Pt 0.762 0.524 0.750

Values from the calculation:
Polymorph energy (0 for the lowest one) in meV/atom: 35

---

Record 2
## AcNdPt (GGA-PBE)

Data for a relaxed structure of AcNdPt.

Cell lengths 5.178, 5.178, 5.178 Å; angles 60.00, 60.00, 60.00 degrees
Fractional positions:
Pt 0.250 0.250 0.250
Nd 0.500 0.500 0.500
Ac 0.000 0.000 0.000

Values from the calculation:
Polymorph energy (0 for the lowest one) in meV/atom: 104

---

Record 3
## AcNd5Pt2 (GGA-PBE)

Data for a relaxed structure of AcNd5Pt2.

Cell lengths 4.148, 9.365, 9.365 Å; angles 48.26, 77.20, 77.20 degrees
Fractional positions:
Nd 0.000 0.500 0.500
Nd 0.344 0.909 0.404
Nd 0.656 0.596 0.091
Nd 0.656 0.091 0.596
Nd 0.344 0.404 0.909
Pt 0.803 0.697 0.697
Pt 0.197 0.303 0.303
Ac 0.000 0.000 0.000

---

E (eV per atom)
-5.324 -5.629 -5.530
Theoretical density (g cm⁻³)
9.4 9.6 8.4